This record from OQMD describes crystalline YHgAsO at its relaxed geometry. The functional is PBE-GGA.

Calculated values
Its total energy is -5.36 eV/atom. The value obtained for the density is 6.99 g cm⁻³. Its offset from the most stable computed form is 253.6 meV/atom.

Lattice parameters (Å, degrees): 4.249 6.250 6.808 90.00 90.00 90.00
Atoms (fractional coordinates):
Y  0.000  0.036  0.000
Y  0.000  0.964  0.500
Hg  0.500  0.419  0.399
Hg  0.500  0.581  0.899
As  0.500  0.210  0.737
As  0.500  0.790  0.237
O  0.000  0.211  0.274
O  0.000  0.789  0.774

***

This record from OQMD describes crystalline YHgAsO at its relaxed geometry. The functional is PBE-GGA.

Calculated values
Its total energy is -5.37 eV/atom. The value obtained for the density is 7.27 g cm⁻³. Its offset from the most stable computed form is 246.6 meV/atom.

Lattice parameters (Å, degrees): 4.448 5.991 6.526 90.00 90.00 90.00
Atoms (fractional coordinates):
Y  0.000  0.247  0.000
Y  0.000  0.753  0.500
Hg  0.500  0.219  0.630
Hg  0.500  0.781  0.130
As  0.000  0.259  0.445
As  0.000  0.741  0.945
O  0.500  0.233  0.990
O  0.500  0.767  0.490

***

This record from OQMD describes crystalline YHgAsO at its relaxed geometry. The functional is PBE-GGA.

Calculated values
Its total energy is -5.14 eV/atom. The value obtained for the density is 7.53 g cm⁻³. Its offset from the most stable computed form is 478.1 meV/atom.

Lattice parameters (Å, degrees): 5.900 5.900 4.820 90.00 90.00 90.00
Atoms (fractional coordinates):
Y  0.250  0.750  0.000
Y  0.750  0.250  0.000
Hg  0.250  0.250  0.499
Hg  0.750  0.750  0.501
As  0.250  0.250  0.999
As  0.750  0.750  0.001
O  0.250  0.750  0.500
O  0.750  0.250  0.500

***

This record from OQMD describes crystalline ZrHgAsO at its relaxed geometry. The functional is PBE-GGA.

Calculated values
Its total energy is -5.63 eV/atom. The value obtained for the density is 7.52 g cm⁻³. Its offset from the most stable computed form is 172.6 meV/atom.

Lattice parameters (Å, degrees): 4.090 7.420 5.567 90.00 90.00 90.00
Atoms (fractional coordinates):
Zr  0.000  0.168  0.000
Zr  0.000  0.832  0.500
Hg  0.500  0.425  0.514
Hg  0.500  0.575  0.014
As  0.000  0.195  0.501
As  0.000  0.805  0.001
O  0.500  0.191  0.002
O  0.500  0.809  0.502

***

This record from OQMD describes crystalline ZrHgAsO at its relaxed geometry. The functional is PBE-GGA.

Calculated values
Its total energy is -5.74 eV/atom. The value obtained for the density is 8.56 g cm⁻³. Its offset from the most stable computed form is 60.1 meV/atom.

Lattice parameters (Å, degrees): 3.796 3.796 10.298 90.00 90.00 90.00
Atoms (fractional coordinates):
Zr  0.250  0.250  0.114
Zr  0.750  0.750  0.886
Hg  0.250  0.750  0.500
Hg  0.750  0.250  0.500
As  0.250  0.250  0.755
As  0.750  0.750  0.245
O  0.250  0.750  0.000
O  0.750  0.250  0.000

***

This record from OQMD describes crystalline ZrHgAsO at its relaxed geometry. The functional is PBE-GGA.

Calculated values
Its total energy is -5.80 eV/atom. The value obtained for the density is 6.07 g cm⁻³. Its offset from the most stable computed form is 0.0 meV/atom.

Lattice parameters (Å, degrees): 4.129 8.854 5.730 90.00 90.00 90.00
Atoms (fractional coordinates):
Zr  0.000  0.138  0.000
Zr  0.000  0.862  0.500
Hg  0.500  0.336  0.413
Hg  0.500  0.664  0.913
As  0.500  0.318  0.903
As  0.500  0.682  0.403
O  0.000  0.046  0.312
O  0.000  0.954  0.812

***

The highest offset from the most stable computed form belongs to which entry?
number 3

***

Among the records above, which one has the highest density?
number 5